GGA+U K5WO4F2, optimized geometry; total energy = -61.3 eV for the cell shown; space group = Amm2, No. 38
1.0
-3.111 2.152 5.014
-2.919 -1.062 -5.289
-1.420 -7.287 2.246
K W O F
5 1 4 2
Direct
0.080 0.370 0.244
0.395 0.000 0.500
0.080 0.370 0.756
0.710 0.630 0.756
0.710 0.630 0.244
0.419 0.000 0.000
0.585 0.000 0.205
0.585 0.000 0.795
0.411 0.305 0.000
0.106 0.695 0.000
0.961 0.595 0.500
0.365 0.405 0.500